Entry 1:
## SmGd2Hg (PBE-GGA)

Data for SmGd2Hg after structural relaxation.

Calculated values
* formation enthalpy at 0 K: -0.071 eV per atom
* SG: No. 225
* M_tot: 16.0 μB per formula unit
* excess energy over the best structure of this formula in the dataset: 164 meV per atom

Geometry as CIF:
```
data_SmGd2Hg
_chemical_formula_sum 'Sm1 Gd2 Hg1'
_symmetry_space_group_name_H-M 'P 1'
_symmetry_Int_Tables_number 1
_symmetry_space_group_name_Hall 'P 1'
_cell_length_a 5.4567
_cell_length_b 5.4567
_cell_length_c 5.4567
_cell_angle_alpha 60.00
_cell_angle_beta 60.00
_cell_angle_gamma 60.00
loop_
_atom_site_label
_atom_site_fract_x
_atom_site_fract_y
_atom_site_fract_z
Gd1 0.2500 0.2500 0.2500
Gd2 0.7500 0.7500 0.7500
Hg1 0.5000 0.5000 0.5000
Sm1 0.0000 0.0000 0.0000
```

***

Entry 2:
## Tb3Mg (PBE-GGA)

Data for Tb3Mg after structural relaxation.

Calculated values
* formation enthalpy at 0 K: 0.055 eV per atom
* SG: No. 225
* M_tot: 0.0 μB per formula unit

Geometry as CIF:
```
data_Tb3Mg
_chemical_formula_sum 'Tb3 Mg1'
_symmetry_space_group_name_H-M 'P 1'
_symmetry_Int_Tables_number 1
_symmetry_space_group_name_Hall 'P 1'
_cell_length_a 5.5158
_cell_length_b 5.5158
_cell_length_c 5.5158
_cell_angle_alpha 60.00
_cell_angle_beta 60.00
_cell_angle_gamma 60.00
loop_
_atom_site_label
_atom_site_fract_x
_atom_site_fract_y
_atom_site_fract_z
Mg1 0.5000 0.5000 0.5000
Tb1 0.0000 0.0000 0.0000
Tb2 0.7500 0.7500 0.7500
Tb3 0.2500 0.2500 0.2500
```

***

Entry 3:
## Be2AuCl (PBE-GGA)

Data for Be2AuCl after structural relaxation.

Calculated values
* SG: No. 166
* M_tot: 0.0 μB per formula unit
* excess energy over the best structure of this formula in the dataset: 236 meV per atom
* raw formation energy: 0.04 eV/atom

Geometry as CIF:
```
data_Be2AuCl
_chemical_formula_sum 'Be2 Au1 Cl1'
_symmetry_space_group_name_H-M 'P 1'
_symmetry_Int_Tables_number 1
_symmetry_space_group_name_Hall 'P 1'
_cell_length_a 7.0621
_cell_length_b 7.0621
_cell_length_c 7.0621
_cell_angle_alpha 25.04
_cell_angle_beta 25.04
_cell_angle_gamma 25.04
loop_
_atom_site_label
_atom_site_fract_x
_atom_site_fract_y
_atom_site_fract_z
Be1 0.9998 0.9998 0.9998
Be2 0.5002 0.5002 0.5002
Au1 0.7500 0.7500 0.7500
Cl1 0.2500 0.2500 0.2500
```

***

Entry 4:
## GdCdPt (PBE-GGA)

Data for GdCdPt after structural relaxation.

Calculated values
* formation enthalpy at 0 K: -0.767 eV per atom
* SG: No. 216
* M_tot: 7.1 μB per formula unit

Geometry as CIF:
```
data_GdCdPt
_chemical_formula_sum 'Gd1 Cd1 Pt1'
_symmetry_space_group_name_H-M 'P 1'
_symmetry_Int_Tables_number 1
_symmetry_space_group_name_Hall 'P 1'
_cell_length_a 4.7499
_cell_length_b 4.7499
_cell_length_c 4.7499
_cell_angle_alpha 60.00
_cell_angle_beta 60.00
_cell_angle_gamma 60.00
loop_
_atom_site_label
_atom_site_fract_x
_atom_site_fract_y
_atom_site_fract_z
Gd1 0.0000 0.0000 0.0000
Pt1 0.2500 0.2500 0.2500
Cd1 0.5000 0.5000 0.5000
```

***

Entry 5:
## InFeIr2 (PBE-GGA)

Data for InFeIr2 after structural relaxation.

Calculated values
* formation enthalpy at 0 K: 0.143 eV per atom
* SG: No. 166
* M_tot: 3.1 μB per formula unit

Geometry as CIF:
```
data_InFeIr2
_chemical_formula_sum 'In1 Fe1 Ir2'
_symmetry_space_group_name_H-M 'P 1'
_symmetry_Int_Tables_number 1
_symmetry_space_group_name_Hall 'P 1'
_cell_length_a 8.7224
_cell_length_b 8.7224
_cell_length_c 8.7224
_cell_angle_alpha 19.11
_cell_angle_beta 19.11
_cell_angle_gamma 19.11
loop_
_atom_site_label
_atom_site_fract_x
_atom_site_fract_y
_atom_site_fract_z
Fe1 0.2500 0.2500 0.2500
In1 0.7500 0.7500 0.7500
Ir1 0.9937 0.9937 0.9937
Ir2 0.5063 0.5063 0.5063
```

***

Entry 6:
## Ho6TmTh4 (PBE-GGA)

Data for Ho6TmTh4 after structural relaxation.

Calculated values
* formation enthalpy at 0 K: 0.513 eV per atom
* SG: No. 121
* M_tot: 0.0 μB per formula unit
* excess energy over the best structure of this formula in the dataset: 351 meV per atom

Geometry as CIF:
```
data_Ho6TmTh4
_chemical_formula_sum 'Ho6 Tm1 Th4'
_symmetry_space_group_name_H-M 'P 1'
_symmetry_Int_Tables_number 1
_symmetry_space_group_name_Hall 'P 1'
_cell_length_a 7.7826
_cell_length_b 7.7826
_cell_length_c 8.5179
_cell_angle_alpha 117.18
_cell_angle_beta 117.18
_cell_angle_gamma 90.00
loop_
_atom_site_label
_atom_site_fract_x
_atom_site_fract_y
_atom_site_fract_z
Ho1 0.9307 0.4314 0.3622
Ho2 0.4314 0.9307 0.3622
Ho3 0.5686 0.5686 0.6378
Ho4 0.0000 0.5000 0.0000
Ho5 0.0693 0.0693 0.6378
Ho6 0.5000 0.0000 0.0000
Tm1 0.5000 0.5000 0.0000
Th1 0.0954 0.7570 0.8524
Th2 0.9046 0.9046 0.1476
Th3 0.7570 0.0954 0.8524
Th4 0.2430 0.2430 0.1476
```

***

Entry 7:
## Nd2PuTl (PBE-GGA)

Data for Nd2PuTl after structural relaxation.

Calculated values
* formation enthalpy at 0 K: 0.189 eV per atom
* SG: No. 166
* M_tot: 6.2 μB per formula unit
* excess energy over the best structure of this formula in the dataset: 269 meV per atom

Geometry as CIF:
```
data_Nd2PuTl
_chemical_formula_sum 'Nd2 Pu1 Tl1'
_symmetry_space_group_name_H-M 'P 1'
_symmetry_Int_Tables_number 1
_symmetry_space_group_name_Hall 'P 1'
_cell_length_a 3.4925
_cell_length_b 3.4925
_cell_length_c 12.2410
_cell_angle_alpha 81.80
_cell_angle_beta 81.80
_cell_angle_gamma 60.00
loop_
_atom_site_label
_atom_site_fract_x
_atom_site_fract_y
_atom_site_fract_z
Tl1 0.5000 0.5000 0.5000
Nd1 0.0915 0.0915 0.7256
Nd2 0.9085 0.9085 0.2744
Pu1 0.0000 0.0000 0.0000
```

***

Entry 8:
## Pd3PtAu6 (PBE-GGA)

Data for Pd3PtAu6 after structural relaxation.

Calculated values
* formation enthalpy at 0 K: 0.132 eV per atom
* SG: No. 14
* M_tot: 0.0 μB per formula unit
* excess energy over the best structure of this formula in the dataset: 179 meV per atom

Geometry as CIF:
```
data_Pd3PtAu6
_chemical_formula_sum 'Pd6 Pt2 Au12'
_symmetry_space_group_name_H-M 'P 1'
_symmetry_Int_Tables_number 1
_symmetry_space_group_name_Hall 'P 1'
_cell_length_a 7.2736
_cell_length_b 6.8468
_cell_length_c 7.2574
_cell_angle_alpha 90.00
_cell_angle_beta 89.13
_cell_angle_gamma 90.00
loop_
_atom_site_label
_atom_site_fract_x
_atom_site_fract_y
_atom_site_fract_z
Pd1 0.5711 0.7945 0.7458
Pd2 0.5000 0.5000 0.0000
Pd3 0.4289 0.2055 0.2542
Pd4 0.0711 0.7055 0.2458
Pd5 0.0000 0.0000 0.5000
Pd6 0.9289 0.2945 0.7542
Pt1 0.5000 0.5000 0.5000
Pt2 0.0000 0.0000 0.0000
Au1 0.6461 0.1296 0.9474
Au2 0.6465 0.1368 0.5559
Au3 0.7895 0.3664 0.2481
Au4 0.2105 0.6336 0.7519
Au5 0.3535 0.8632 0.4441
Au6 0.3539 0.8704 0.0526
Au7 0.1461 0.3704 0.4474
Au8 0.1465 0.3632 0.0559
Au9 0.2895 0.1336 0.7481
Au10 0.7105 0.8664 0.2519
Au11 0.8535 0.6368 0.9441
Au12 0.8539 0.6296 0.5526
```

***

Entry 9:
## Li5BeF8 (PBE-GGA)

Data for Li5BeF8 after structural relaxation.

Calculated values
* SG: No. 82
* M_tot: 1.0 μB per formula unit
* excess energy over the best structure of this formula in the dataset: 0 meV per atom
* raw formation energy: -2.76 eV/atom

Geometry as CIF:
```
data_Li5BeF8
_chemical_formula_sum 'Li5 Be1 F8'
_symmetry_space_group_name_H-M 'P 1'
_symmetry_Int_Tables_number 1
_symmetry_space_group_name_Hall 'P 1'
_cell_length_a 5.8848
_cell_length_b 5.8848
_cell_length_c 5.8848
_cell_angle_alpha 108.52
_cell_angle_beta 108.52
_cell_angle_gamma 111.38
loop_
_atom_site_label
_atom_site_fract_x
_atom_site_fract_y
_atom_site_fract_z
Li1 0.8633 0.2622 0.8954
Li2 0.7378 0.6332 0.6011
Li3 0.3668 0.9679 0.1046
Li4 0.5000 0.5000 0.0000
Li5 0.0321 0.1367 0.3989
Be1 0.2500 0.7500 0.5000
F1 0.1981 0.9049 0.3313
F2 0.0951 0.4264 0.2931
F3 0.6465 0.8813 0.1924
F4 0.1187 0.3110 0.7652
F5 0.5458 0.3535 0.2348
F6 0.1333 0.8019 0.7069
F7 0.5736 0.8667 0.6687
F8 0.6890 0.4542 0.8076
```

***

Entry 10:
## RbTc2F11 (PBE-GGA)

Data for RbTc2F11 after structural relaxation.

Calculated values
* SG: No. 72
* M_tot: 4.0 μB per formula unit
* raw formation energy: -2.21 eV/atom

Geometry as CIF:
```
data_RbTc2F11
_chemical_formula_sum 'Rb2 Tc4 F22'
_symmetry_space_group_name_H-M 'P 1'
_symmetry_Int_Tables_number 1
_symmetry_space_group_name_Hall 'P 1'
_cell_length_a 9.7964
_cell_length_b 8.9214
_cell_length_c 8.9214
_cell_angle_alpha 65.21
_cell_angle_beta 56.70
_cell_angle_gamma 56.70
loop_
_atom_site_label
_atom_site_fract_x
_atom_site_fract_y
_atom_site_fract_z
Rb1 0.7500 0.7500 0.7500
Rb2 0.2500 0.2500 0.2500
Tc1 0.6547 0.6421 0.3579
Tc2 0.3453 0.3579 0.6421
Tc3 0.8453 0.1421 0.8579
Tc4 0.1547 0.8579 0.1421
F1 0.6266 0.6545 0.5802
F2 0.3734 0.3455 0.4198
F3 0.1387 0.5802 0.6545
F4 0.8734 0.9198 0.8455
F5 0.8613 0.4198 0.3455
F6 0.1266 0.0802 0.1545
F7 0.3613 0.8455 0.9198
F8 0.6387 0.1545 0.0802
F9 0.5000 0.5000 0.5000
F10 0.0000 0.0000 0.0000
F11 0.7976 0.7699 0.2301
F12 0.2024 0.2301 0.7699
F13 0.7024 0.2699 0.7301
F14 0.2976 0.7301 0.2699
F15 0.4446 0.8612 0.3734
F16 0.5554 0.1388 0.6266
F17 0.3209 0.3734 0.8612
F18 0.0554 0.1266 0.6388
F19 0.6791 0.6266 0.1388
F20 0.9446 0.8734 0.3612
F21 0.1791 0.6388 0.1266
F22 0.8209 0.3612 0.8734
```

***

Entry 11:
## Hf2CoW (PBE-GGA)

Data for Hf2CoW after structural relaxation.

Calculated values
* formation enthalpy at 0 K: -0.089 eV per atom
* SG: No. 123
* M_tot: 0.0 μB per formula unit

Geometry as CIF:
```
data_Hf2CoW
_chemical_formula_sum 'Hf2 Co1 W1'
_symmetry_space_group_name_H-M 'P 1'
_symmetry_Int_Tables_number 1
_symmetry_space_group_name_Hall 'P 1'
_cell_length_a 3.2688
_cell_length_b 4.5790
_cell_length_c 4.5790
_cell_angle_alpha 90.00
_cell_angle_beta 90.00
_cell_angle_gamma 90.00
loop_
_atom_site_label
_atom_site_fract_x
_atom_site_fract_y
_atom_site_fract_z
Co1 0.5000 0.5000 0.5000
Hf1 0.0000 0.0000 0.5000
Hf2 0.0000 0.5000 0.0000
W1 0.5000 0.0000 0.0000
```

***

Entry 12:
## HfRe2I (PBE-GGA)

Data for HfRe2I after structural relaxation.

Calculated values
* SG: No. 122
* M_tot: 0.0 μB per formula unit
* excess energy over the best structure of this formula in the dataset: 258 meV per atom
* raw formation energy: 1.10 eV/atom

Geometry as CIF:
```
data_HfRe2I
_chemical_formula_sum 'Hf2 Re4 I2'
_symmetry_space_group_name_H-M 'P 1'
_symmetry_Int_Tables_number 1
_symmetry_space_group_name_Hall 'P 1'
_cell_length_a 3.9142
_cell_length_b 3.9142
_cell_length_c 10.8333
_cell_angle_alpha 79.59
_cell_angle_beta 79.59
_cell_angle_gamma 90.00
loop_
_atom_site_label
_atom_site_fract_x
_atom_site_fract_y
_atom_site_fract_z
I1 0.5000 0.5000 0.0000
I2 0.2500 0.7500 0.5000
Re1 0.5738 0.1250 0.2500
Re2 0.1762 0.6250 0.2500
Re3 0.3750 0.4262 0.7500
Re4 0.8750 0.8238 0.7500
Hf1 0.0000 0.0000 0.0000
Hf2 0.7500 0.2500 0.5000
```